Compound: MgTa4Os5
Source: Alexandria
Functional: GGA-PBE
Structure: optimized geometry

**Space-group type**: P4/mmm, No. 123
**E_tot**: -107.783 eV per formula unit
**Fermi-level density of states**: 5.52 states/eV/cell
**Energy of formation**: -0.263 eV/atom

Cell: 3.187 3.187 15.837 Å, 90.00 90.00 90.00°
Fractional coordinates of all 10 atoms:
Mg  0.000  0.000  0.000
Ta  0.000  0.000  0.194
Ta  0.000  0.000  0.400
Ta  0.000  0.000  0.600
Ta  0.000  0.000  0.806
Os  0.500  0.500  0.104
Os  0.500  0.500  0.300
Os  0.500  0.500  0.500
Os  0.500  0.500  0.700
Os  0.500  0.500  0.896


Compound: Mg2TaOs
Source: Alexandria
Functional: GGA-PBE
Structure: optimized geometry

**Space-group type**: F-43m, No. 216
**E_tot**: -26.239 eV per formula unit
**Fermi-level density of states**: 15.31 states/eV/cell
**Energy of formation**: 0.008 eV/atom
**Energy above the lowest structure with this stoichiometry**: 31 meV/atom

Cell: 6.436 6.436 6.436 Å, 90.00 90.00 90.00°
Fractional coordinates of all 16 atoms:
Mg  0.000  0.000  0.000
Mg  0.000  0.500  0.500
Mg  0.250  0.250  0.250
Mg  0.250  0.750  0.750
Mg  0.500  0.000  0.500
Mg  0.500  0.500  0.000
Mg  0.750  0.250  0.750
Mg  0.750  0.750  0.250
Ta  0.000  0.000  0.500
Ta  0.000  0.500  0.000
Ta  0.500  0.000  0.000
Ta  0.500  0.500  0.500
Os  0.250  0.250  0.750
Os  0.250  0.750  0.250
Os  0.750  0.250  0.250
Os  0.750  0.750  0.750


Compound: MgTa3Os
Source: Alexandria
Functional: GGA-PBE
Structure: optimized geometry

**Space-group type**: Pm-3m, No. 221
**E_tot**: -37.575 eV per formula unit
**Fermi-level density of states**: 6.98 states/eV/cell
**Energy of formation**: 2.162 eV/atom
**Energy above the lowest structure with this stoichiometry**: 1134 meV/atom

Cell: 4.601 4.601 4.601 Å, 90.00 90.00 90.00°
Fractional coordinates of all 5 atoms:
Mg  0.000  0.000  0.000
Ta  0.000  0.000  0.500
Ta  0.000  0.500  0.000
Ta  0.500  0.000  0.000
Os  0.500  0.500  0.500


Compound: MgTa3Os
Source: Alexandria
Functional: GGA-PBE
Structure: optimized geometry

**Space-group type**: Pm-3m, No. 221
**E_tot**: -43.243 eV per formula unit
**Fermi-level density of states**: 4.05 states/eV/cell
**Energy of formation**: 1.028 eV/atom
**Energy above the lowest structure with this stoichiometry**: 0 meV/atom

Cell: 4.883 4.883 4.883 Å, 90.00 90.00 90.00°
Fractional coordinates of all 5 atoms:
Mg  0.000  0.000  0.000
Ta  0.000  0.500  0.500
Ta  0.500  0.000  0.500
Ta  0.500  0.500  0.000
Os  0.500  0.500  0.500


Compound: Mg2TaOs
Source: Alexandria
Functional: GGA-PBE
Structure: optimized geometry

**Space-group type**: Cmmm, No. 65
**E_tot**: -25.142 eV per formula unit
**Fermi-level density of states**: 8.07 states/eV/cell
**Energy of formation**: 0.282 eV/atom
**Energy above the lowest structure with this stoichiometry**: 305 meV/atom

Cell: 5.381 9.277 2.757 Å, 90.00 90.00 90.00°
Fractional coordinates of all 8 atoms:
Mg  0.250  0.250  0.000
Mg  0.250  0.750  0.000
Mg  0.750  0.250  0.000
Mg  0.750  0.750  0.000
Ta  0.000  0.000  0.500
Ta  0.500  0.500  0.500
Os  0.000  0.500  0.500
Os  0.500  0.000  0.500


Compound: MgTa2Os3
Source: Alexandria
Functional: GGA-PBE
Structure: optimized geometry

**Space-group type**: P4/mmm, No. 123
**E_tot**: -60.759 eV per formula unit
**Fermi-level density of states**: 1.07 states/eV/cell
**Energy of formation**: -0.295 eV/atom

Cell: 3.176 3.176 9.505 Å, 90.00 90.00 90.00°
Fractional coordinates of all 6 atoms:
Mg  0.000  0.000  0.000
Ta  0.000  0.000  0.325
Ta  0.000  0.000  0.675
Os  0.500  0.500  0.174
Os  0.500  0.500  0.500
Os  0.500  0.500  0.826


Compound: Mg2TaOs
Source: Alexandria
Functional: GGA-PBE
Structure: optimized geometry

**Space-group type**: Cmm2, No. 35
**E_tot**: -25.672 eV per formula unit
**Fermi-level density of states**: 6.43 states/eV/cell
**Energy of formation**: 0.150 eV/atom
**Energy above the lowest structure with this stoichiometry**: 173 meV/atom

Cell: 3.223 4.772 9.458 Å, 90.00 90.00 90.00°
Fractional coordinates of all 8 atoms:
Mg  0.000  0.000  0.000
Mg  0.000  0.500  0.281
Mg  0.500  0.000  0.281
Mg  0.500  0.500  0.000
Ta  0.000  0.000  0.548
Ta  0.500  0.500  0.548
Os  0.000  0.500  0.764
Os  0.500  0.000  0.764


Compound: Mg3TaOs
Source: Alexandria
Functional: GGA-PBE
Structure: optimized geometry

**Space-group type**: Pm-3m, No. 221
**E_tot**: -15.879 eV per formula unit
**Fermi-level density of states**: 9.50 states/eV/cell
**Energy of formation**: 2.397 eV/atom
**Energy above the lowest structure with this stoichiometry**: 1091 meV/atom

Cell: 5.100 5.100 5.100 Å, 90.00 90.00 90.00°
Fractional coordinates of all 5 atoms:
Mg  0.000  0.000  0.500
Mg  0.000  0.500  0.000
Mg  0.500  0.000  0.000
Ta  0.000  0.000  0.000
Os  0.500  0.500  0.500


Compound: Mg2TaOs
Source: Alexandria
Functional: GGA-PBE
Structure: optimized geometry

**Space-group type**: R-3m, No. 166
**E_tot**: -25.079 eV per formula unit
**Fermi-level density of states**: 8.47 states/eV/cell
**Energy of formation**: 0.298 eV/atom
**Energy above the lowest structure with this stoichiometry**: 321 meV/atom

Cell: 2.866 2.866 28.994 Å, 90.00 90.00 120.00°
Fractional coordinates of all 12 atoms:
Mg  0.000  0.000  0.243
Mg  0.000  0.000  0.757
Mg  0.333  0.667  0.424
Mg  0.333  0.667  0.910
Mg  0.667  0.333  0.090
Mg  0.667  0.333  0.576
Ta  0.000  0.000  0.000
Ta  0.333  0.667  0.667
Ta  0.667  0.333  0.333
Os  0.000  0.000  0.500
Os  0.333  0.667  0.167
Os  0.667  0.333  0.833


Compound: Mg2TaOs
Source: Alexandria
Functional: GGA-PBE
Structure: optimized geometry

**Space-group type**: P2/m, No. 10
**E_tot**: -25.472 eV per formula unit
**Fermi-level density of states**: 2.75 states/eV/cell
**Energy of formation**: 0.200 eV/atom
**Energy above the lowest structure with this stoichiometry**: 223 meV/atom

Cell: 2.782 4.687 5.376 Å, 90.00 103.35 90.00°
Fractional coordinates of all 4 atoms:
Mg  0.195  0.000  0.261
Mg  0.805  0.000  0.739
Ta  0.500  0.500  0.000
Os  0.000  0.500  0.500


Compound: Mg2TaOs
Source: Alexandria
Functional: GGA-PBE
Structure: optimized geometry

**Space-group type**: Fm-3m, No. 225
**E_tot**: -23.912 eV per formula unit
**Fermi-level density of states**: 9.66 states/eV/cell
**Energy of formation**: 0.590 eV/atom
**Energy above the lowest structure with this stoichiometry**: 613 meV/atom

Cell: 6.441 6.441 6.441 Å, 90.00 90.00 90.00°
Fractional coordinates of all 16 atoms:
Mg  0.250  0.250  0.250
Mg  0.250  0.250  0.750
Mg  0.250  0.750  0.250
Mg  0.250  0.750  0.750
Mg  0.750  0.250  0.250
Mg  0.750  0.250  0.750
Mg  0.750  0.750  0.250
Mg  0.750  0.750  0.750
Ta  0.000  0.000  0.000
Ta  0.000  0.500  0.500
Ta  0.500  0.000  0.500
Ta  0.500  0.500  0.000
Os  0.000  0.000  0.500
Os  0.000  0.500  0.000
Os  0.500  0.000  0.000
Os  0.500  0.500  0.500


Compound: Mg2TaOs
Source: Alexandria
Functional: GGA-PBE
Structure: optimized geometry

**Space-group type**: P4mm, No. 99
**E_tot**: -26.363 eV per formula unit
**Fermi-level density of states**: 3.22 states/eV/cell
**Energy of formation**: -0.023 eV/atom
**Energy above the lowest structure with this stoichiometry**: 0 meV/atom

Cell: 3.239 3.239 6.983 Å, 90.00 90.00 90.00°
Fractional coordinates of all 4 atoms:
Mg  0.000  0.000  0.000
Mg  0.500  0.500  0.284
Ta  0.500  0.500  0.719
Os  0.000  0.000  0.532


Compound: Mg2TaOs
Source: Alexandria
Functional: GGA-PBE
Structure: optimized geometry

**Space-group type**: Cmmm, No. 65
**E_tot**: -24.978 eV per formula unit
**Fermi-level density of states**: 8.81 states/eV/cell
**Energy of formation**: 0.323 eV/atom
**Energy above the lowest structure with this stoichiometry**: 346 meV/atom

Cell: 3.114 4.615 9.560 Å, 90.00 90.00 90.00°
Fractional coordinates of all 8 atoms:
Mg  0.000  0.000  0.231
Mg  0.000  0.000  0.769
Mg  0.500  0.500  0.231
Mg  0.500  0.500  0.769
Ta  0.000  0.500  0.500
Ta  0.500  0.000  0.500
Os  0.000  0.500  0.000
Os  0.500  0.000  0.000


Compound: Mg2TaOs
Source: Alexandria
Functional: GGA-PBE
Structure: optimized geometry

**Space-group type**: Cm, No. 8
**E_tot**: -25.599 eV per formula unit
**Fermi-level density of states**: 3.38 states/eV/cell
**Energy of formation**: 0.168 eV/atom
**Energy above the lowest structure with this stoichiometry**: 191 meV/atom

Cell: 9.111 3.069 5.198 Å, 90.00 101.44 90.00°
Fractional coordinates of all 8 atoms:
Mg  0.000  0.000  0.000
Mg  0.236  0.000  0.768
Mg  0.500  0.500  0.000
Mg  0.736  0.500  0.768
Ta  0.266  0.500  0.306
Ta  0.766  0.000  0.306
Os  0.496  0.000  0.474
Os  0.996  0.500  0.474


Compound: Mg3TaOs
Source: Alexandria
Functional: GGA-PBE
Structure: optimized geometry

**Space-group type**: Pm-3m, No. 221
**E_tot**: -21.334 eV per formula unit
**Fermi-level density of states**: 4.99 states/eV/cell
**Energy of formation**: 1.306 eV/atom
**Energy above the lowest structure with this stoichiometry**: 0 meV/atom

Cell: 4.813 4.813 4.813 Å, 90.00 90.00 90.00°
Fractional coordinates of all 5 atoms:
Mg  0.000  0.000  0.500
Mg  0.000  0.500  0.000
Mg  0.500  0.000  0.000
Ta  0.500  0.500  0.500
Os  0.000  0.000  0.000


Compound: Mg2TaOs
Source: Alexandria
Functional: GGA-PBE
Structure: optimized geometry

**Space-group type**: I-42d, No. 122
**E_tot**: -22.887 eV per formula unit
**Fermi-level density of states**: 20.63 states/eV/cell
**Energy of formation**: 0.846 eV/atom
**Energy above the lowest structure with this stoichiometry**: 869 meV/atom

Cell: 7.578 7.578 5.255 Å, 90.00 90.00 90.00°
Fractional coordinates of all 16 atoms:
Mg  0.218  0.250  0.125
Mg  0.250  0.718  0.375
Mg  0.250  0.782  0.875
Mg  0.282  0.250  0.625
Mg  0.718  0.750  0.625
Mg  0.750  0.218  0.875
Mg  0.750  0.282  0.375
Mg  0.782  0.750  0.125
Ta  0.000  0.000  0.500
Ta  0.000  0.500  0.750
Ta  0.500  0.000  0.250
Ta  0.500  0.500  0.000
Os  0.000  0.000  0.000
Os  0.000  0.500  0.250
Os  0.500  0.000  0.750
Os  0.500  0.500  0.500


Compound: MgTaOs4
Source: Alexandria
Functional: GGA-PBE
Structure: optimized geometry

**Space-group type**: F-43m, No. 216
**E_tot**: -57.646 eV per formula unit
**Fermi-level density of states**: 6.49 states/eV/cell
**Energy of formation**: 0.120 eV/atom

Cell: 5.167 5.167 5.167 Å, 60.00 60.00 60.00°
Fractional coordinates of all 6 atoms:
Mg  0.000  0.000  0.000
Ta  0.250  0.250  0.250
Os  0.124  0.625  0.625
Os  0.625  0.124  0.625
Os  0.625  0.625  0.124
Os  0.625  0.625  0.625


Compound: Mg2TaOs
Source: Alexandria
Functional: GGA-PBE
Structure: optimized geometry

**Space-group type**: P4/mmm, No. 123
**E_tot**: -24.778 eV per formula unit
**Fermi-level density of states**: 3.97 states/eV/cell
**Energy of formation**: 0.373 eV/atom
**Energy above the lowest structure with this stoichiometry**: 396 meV/atom

Cell: 2.773 2.773 8.986 Å, 90.00 90.00 90.00°
Fractional coordinates of all 4 atoms:
Mg  0.000  0.000  0.230
Mg  0.000  0.000  0.770
Ta  0.500  0.500  0.500
Os  0.500  0.500  0.000


Compound: MgTa4Os
Source: Alexandria
Functional: GGA-PBE
Structure: optimized geometry

**Space-group type**: F-43m, No. 216
**E_tot**: -57.764 eV per formula unit
**Fermi-level density of states**: 7.40 states/eV/cell
**Energy of formation**: 0.412 eV/atom

Cell: 5.379 5.379 5.379 Å, 60.00 60.00 60.00°
Fractional coordinates of all 6 atoms:
Mg  0.000  0.000  0.000
Ta  0.375  0.375  0.375
Ta  0.375  0.375  0.876
Ta  0.375  0.876  0.375
Ta  0.876  0.375  0.375
Os  0.750  0.750  0.750


Compound: Mg2TaOs
Source: Alexandria
Functional: GGA-PBE
Structure: optimized geometry

**Space-group type**: Pmmm, No. 47
**E_tot**: -25.261 eV per formula unit
**Fermi-level density of states**: 3.16 states/eV/cell
**Energy of formation**: 0.253 eV/atom
**Energy above the lowest structure with this stoichiometry**: 275 meV/atom

Cell: 2.791 4.526 5.411 Å, 90.00 90.00 90.00°
Fractional coordinates of all 4 atoms:
Mg  0.000  0.000  0.241
Mg  0.000  0.000  0.759
Ta  0.500  0.500  0.500
Os  0.500  0.500  0.000